Material: Dy2YSc3CuTe2
Method: DFT, PBE
State: relaxed Values from VASP.

The value obtained for the total energy is -50.7 eV/cell.

Quantum ESPRESSO input file:
```
&SYSTEM
  ibrav = 0, nat = 9, ntyp = 5
/
ATOMIC_SPECIES
Dy 162.50 Dy.upf
Y 88.91 Y.upf
Sc 44.96 Sc.upf
Cu 63.55 Cu.upf
Te 127.60 Te.upf
CELL_PARAMETERS angstrom
3.959 0.000 0.000
0.000 6.914 3.999
0.000 -6.914 3.999
ATOMIC_POSITIONS angstrom
Dy 0.000 -4.186 3.999
Dy 0.000 4.186 3.999
Y 0.000 0.000 3.258
Sc 1.980 0.000 0.314
Sc 1.980 -1.641 5.475
Sc 1.980 1.641 5.475
Cu 0.000 0.000 6.431
Te 1.980 -2.310 2.419
Te 1.980 2.310 2.419
```